[1]
MgBi2O4: relaxed, PBE.

abc: 6.831 6.831 6.831
angles: 60.00 60.00 60.00
Positions (direct):
Mg (0.125, 0.125, 0.125)
Mg (0.875, 0.875, 0.875)
Bi (0.000, 0.500, 0.500)
Bi (0.500, 0.000, 0.500)
Bi (0.500, 0.500, 0.000)
Bi (0.500, 0.500, 0.500)
O (0.248, 0.751, 0.751)
O (0.249, 0.249, 0.249)
O (0.249, 0.249, 0.752)
O (0.249, 0.752, 0.249)
O (0.751, 0.248, 0.751)
O (0.751, 0.751, 0.248)
O (0.751, 0.751, 0.751)
O (0.752, 0.249, 0.249)

Computed properties:
E_form (uncorrected)	-1.46	eV per atom
magnetic moment	0.0	μB/f.u.
excess energy over the best structure of this formula in the dataset	148	meV per atom
space group	No. 227

[2]
YPd4: relaxed, PBE.

abc: 7.823 7.823 7.823
angles: 147.40 136.97 55.01
Positions (direct):
Y (0.357, 0.107, 0.250)
Y (0.643, 0.893, 0.750)
Pd (0.000, 0.500, 0.500)
Pd (0.141, 0.891, 0.250)
Pd (0.184, 0.696, 0.488)
Pd (0.293, 0.304, 0.988)
Pd (0.500, 0.500, 0.000)
Pd (0.707, 0.696, 0.012)
Pd (0.816, 0.304, 0.512)
Pd (0.859, 0.109, 0.750)

Computed properties:
formation energy from the elements	-0.6474	eV/atom
magnetic moment	0.0	μB/f.u.
space group	No. 74

[3]
NiSnS2: relaxed, PBE.

abc: 6.792 6.792 6.792
angles: 131.30 131.30 71.34
Positions (direct):
Ni (0.000, 0.000, 0.000)
Ni (0.750, 0.250, 0.500)
Sn (0.250, 0.750, 0.500)
Sn (0.500, 0.500, 0.000)
S (0.059, 0.625, 0.934)
S (0.375, 0.309, 0.434)
S (0.691, 0.125, 0.066)
S (0.875, 0.941, 0.566)

Computed properties:
E_form (uncorrected)	-0.25	eV per atom
magnetic moment	0.0	μB/f.u.
space group	No. 122

[4]
AcLa2PrMg: relaxed, PBE.

abc: 7.370 7.370 7.544
angles: 90.00 90.00 111.36
Positions (direct):
Ac (0.241, 0.759, 0.750)
Ac (0.759, 0.241, 0.250)
La (0.301, 0.301, 0.000)
La (0.301, 0.301, 0.500)
La (0.699, 0.699, 0.000)
La (0.699, 0.699, 0.500)
Pr (0.073, 0.927, 0.250)
Pr (0.927, 0.073, 0.750)
Mg (0.322, 0.678, 0.250)
Mg (0.678, 0.322, 0.750)

Computed properties:
formation energy from the elements	0.2266	eV/atom
magnetic moment	0.0	μB/f.u.
space group	No. 63

[5]
NaLi2Tl3Hg3: relaxed, PBE.

abc: 8.653 8.653 3.384
angles: 90.00 90.00 120.00
Positions (direct):
Na (0.000, 0.000, 0.000)
Li (0.333, 0.667, 0.500)
Li (0.667, 0.333, 0.500)
Tl (0.000, 0.688, 0.500)
Tl (0.312, 0.312, 0.500)
Tl (0.688, 0.000, 0.500)
Hg (0.000, 0.372, 0.000)
Hg (0.372, 0.000, 0.000)
Hg (0.628, 0.628, 0.000)

Computed properties:
formation energy from the elements	-0.1252	eV/atom
magnetic moment	0.0	μB/f.u.
space group	No. 189

[6]
KP2IrCl: relaxed, PBE.

abc: 5.281 5.281 5.154
angles: 90.00 90.00 90.00
Positions (direct):
K (0.000, 0.000, 0.000)
P (0.000, 0.500, 0.000)
P (0.500, 0.000, 0.000)
Ir (0.500, 0.500, 0.500)
Cl (0.000, 0.000, 0.500)

Computed properties:
E_form (uncorrected)	2.22	eV per atom
magnetic moment	1.7	μB/f.u.
excess energy over the best structure of this formula in the dataset	2497	meV per atom
space group	No. 123